Entry 1:
The following is a GGA-PBE calculation of a relaxed BeZnP2 crystal, from the Alexandria database.

Unit cell a=4.157 b=4.157 c=3.353 alpha=90.00 beta=90.00 gamma=106.71
Fractional coordinates of all 4 atoms:
Be: 0.000 0.500 0.500
Zn: 0.500 0.000 0.500
P: 0.500 0.500 0.000
P: 0.000 0.000 0.000

Calculated values
- E_form (eV per atom) = 0.44
- energy above the lowest structure with this stoichiometry (meV per atom) = 475

=====

Entry 2:
The following is a GGA-PBE calculation of a relaxed BeZnP crystal, from the Alexandria database.

Unit cell a=3.868 b=3.868 c=3.868 alpha=60.00 beta=60.00 gamma=60.00
Fractional coordinates of all 3 atoms:
P: 0.000 0.000 0.000
Be: 0.750 0.750 0.750
Zn: 0.500 0.500 0.500

Calculated values
- E_form (eV per atom) = 0.13
- energy above the lowest structure with this stoichiometry (meV per atom) = 125

=====

Entry 3:
The following is a GGA-PBE calculation of a relaxed BeZnP2 crystal, from the Alexandria database.

Unit cell a=5.769 b=5.769 c=5.769 alpha=146.91 beta=146.66 gamma=47.69
Fractional coordinates of all 4 atoms:
Be: 0.717 0.217 0.500
P: 0.263 0.763 0.500
P: 0.075 0.075 0.000
Zn: 0.445 0.445 0.000

Calculated values
- E_form (eV per atom) = 0.25
- energy above the lowest structure with this stoichiometry (meV per atom) = 282

=====

Entry 4:
The following is a GGA-PBE calculation of a relaxed ZrBeP2 crystal, from the Alexandria database.

Unit cell a=3.472 b=3.470 c=5.137 alpha=89.95 beta=90.00 gamma=90.00
Fractional coordinates of all 4 atoms:
Zr: 0.500 0.250 0.250
Be: 0.500 0.750 0.750
P: 0.000 0.750 0.495
P: 0.000 0.750 0.005

Calculated values
- E_form (eV per atom) = -0.54

=====

Entry 5:
The following is a GGA-PBE calculation of a relaxed ZrBeP2 crystal, from the Alexandria database.

Unit cell a=5.599 b=5.599 c=6.561 alpha=64.75 beta=64.75 gamma=90.00
Fractional coordinates of all 8 atoms:
Be: 0.250 0.750 0.500
Be: 0.500 0.500 0.000
P: 0.875 0.827 0.750
P: 0.375 0.423 0.750
P: 0.173 0.625 0.250
P: 0.577 0.125 0.250
Zr: 0.000 0.000 0.000
Zr: 0.750 0.250 0.500

Calculated values
- E_form (eV per atom) = -0.38

=====

Entry 6:
The following is a GGA-PBE calculation of a relaxed ZrBeP2 crystal, from the Alexandria database.

Unit cell a=6.172 b=6.172 c=6.172 alpha=33.77 beta=33.77 gamma=33.77
Fractional coordinates of all 4 atoms:
P: 0.011 0.011 0.011
P: 0.489 0.489 0.489
Be: 0.750 0.750 0.750
Zr: 0.250 0.250 0.250

Calculated values
- E_form (eV per atom) = -0.45

=====

One value per record, in order, for size of the total moment: 0.0 0.0 0.0 0.0 0.0 0.0 μB per formula unit.